1.
## RbV2PdO8 (PBE+U)

Data for a relaxed RbV2PdO8 crystal.

Properties
energy	-76.5	eV/cell
total moment	1.10	μB per formula unit
crystal system	trigonal

a b c (Å): 5.266 5.266 8.267
angles (deg): 90.00 90.00 120.00
Fractional positions:
Rb: 0.000 0.000 0.000
V: 0.333 0.667 0.698
V: 0.667 0.333 0.302
Pd: 0.000 0.000 0.500
O: 0.035 0.321 0.641
O: 0.287 0.965 0.641
O: 0.321 0.287 0.359
O: 0.333 0.667 0.900
O: 0.667 0.333 0.100
O: 0.679 0.713 0.641
O: 0.713 0.035 0.359
O: 0.965 0.679 0.359

2.
## Rb3V2PdO8 (PBE+U)

Data for a relaxed Rb3V2PdO8 crystal.

Properties
energy	-85.1	eV/cell
total moment	1.01	μB per formula unit
crystal system	trigonal

a b c (Å): 5.889 5.889 7.897
angles (deg): 90.00 90.00 120.00
Fractional positions:
Rb: 0.000 0.000 0.000
Rb: 0.333 0.667 0.711
Rb: 0.667 0.333 0.289
V: 0.333 0.667 0.275
V: 0.667 0.333 0.725
Pd: 0.000 0.000 0.500
O: 0.168 0.336 0.342
O: 0.168 0.832 0.342
O: 0.333 0.667 0.062
O: 0.336 0.168 0.658
O: 0.664 0.832 0.342
O: 0.667 0.333 0.938
O: 0.832 0.168 0.658
O: 0.832 0.664 0.658

3.
## RbV2PdO (PBE+U)

Data for a relaxed RbV2PdO crystal.

Properties
energy	-25.7	eV/cell
total moment	6.42	μB per formula unit
crystal system	tetragonal

a b c (Å): 4.270 4.270 5.362
angles (deg): 90.00 90.00 90.00
Fractional positions:
Rb: 0.000 0.000 0.000
V: 0.000 0.500 0.500
V: 0.500 0.000 0.500
Pd: 0.500 0.500 0.000
O: 0.000 0.000 0.500

4.
## Rb2PdWO (PBE+U)

Data for a relaxed Rb2PdWO crystal.

Properties
energy	-18.7	eV/cell
total moment	2.73	μB per formula unit
crystal system	tetragonal

a b c (Å): 7.032 7.032 3.851
angles (deg): 90.00 90.00 90.00
Fractional positions:
Rb: 0.000 0.500 0.000
Rb: 0.500 0.000 0.000
Pd: 0.000 0.000 0.500
W: 0.500 0.500 0.000
O: 0.500 0.500 0.500